Material: Sc3Mo
Method: DFT, GGA-PBE
State: relaxed

Cell lengths 5.5209, 5.5209, 5.5209 Å; angles 90.00, 90.00, 90.00 degrees
Last column: nearest neighbours and their distance in Å.
Space group Pm-3n (No. 223)
Unique sites:
Sc: 0.0000 0.2500 0.5000 x6  2 Sc 2.76, 4 Mo 3.09
Mo: 0.0000 0.0000 0.0000 x2  12 Sc 3.09

Calculated values
- energy of formation (eV per formula unit) = 1.2
- total DFT energy (no corrections) (eV per atom) = -7.16
- magnetization (μB/f.u.) = 0.0
- relative energy among the computed polymorphs (meV/atom) = 233